[1]
Density functional theory data (PBE) for a geometry-optimized TiNb2W6 structure.

Summary:
For the raw total energy, the calculation gives -106.24 eV/cell. The formation energy is -0.054 eV per atom. The calculation puts the total magnetic moment at 0.0 μB per cell.

Cell: 3.1974 5.3297 9.4792 Å, 75.49 80.29 72.54°
Closest atoms and distances in Å follow each position.
Sites, in units of the cell vectors:
1 Nb 0.3318 0.1124 0.2240  6 W 2.77-2.79, 2 Ti 2.79
2 Nb 0.6682 0.8876 0.7760  6 W 2.77-2.79, 2 Ti 2.79
3 W 0.9994 0.3354 0.6658  6 W 2.75-2.78, 2 Nb 2.79
4 W 0.3355 0.7752 0.5538  6 W 2.75-2.80, 2 Nb 2.77
5 W 0.0006 0.6646 0.3342  6 W 2.75-2.78, 2 Nb 2.79
6 Ti 0.0000 0.0000 0.0000  4 Nb 2.79, 4 W 2.79
7 W 0.6645 0.2248 0.4462  6 W 2.75-2.80, 2 Nb 2.77
8 W 0.3319 0.4471 0.8891  4 W 2.76-2.78, 2 Nb 2.77, 2 Ti 2.79
9 W 0.6681 0.5529 0.1109  4 W 2.76-2.78, 2 Nb 2.77, 2 Ti 2.79

***

[2]
Density functional theory data (PBE) for a geometry-optimized TiNb6W structure.

Summary:
The energy above the lowest structure with this stoichiometry comes out at 0.000 eV/atom. For the raw total energy, the calculation gives -81.33 eV/cell. The formation energy is -0.008 eV per atom. The calculation puts the total magnetic moment at 0.0 μB per cell.

Cell: 4.6316 5.7055 5.7055 Å, 109.53 90.00 90.00°
Closest atoms and distances in Å follow each position.
Sites, in units of the cell vectors:
1 Nb 0.0000 0.1297 0.3802  2 W 2.82, 4 Nb 2.83-2.87, 2 Ti 2.84-2.87
2 Nb 0.5000 0.8708 0.6207  4 Nb 2.82-2.88, 2 W 2.84-2.87, 2 Ti 2.86
3 Nb 0.0000 0.6198 0.8703  2 W 2.82, 4 Nb 2.83-2.87, 2 Ti 2.84-2.87
4 Ti 0.0000 0.1245 0.8755  8 Nb 2.84-2.87
5 Nb 0.5000 0.8802 0.1198  8 Nb 2.83-2.88
6 W 0.5000 0.3707 0.6293  8 Nb 2.82-2.87
7 Nb 0.5000 0.3793 0.1292  4 Nb 2.82-2.88, 2 W 2.84-2.87, 2 Ti 2.86
8 Nb 0.0000 0.6246 0.3754  8 Nb 2.82-2.87

***

[3]
Density functional theory data (PBE) for a geometry-optimized TiNb2W2 structure.

Summary:
The energy above the lowest structure with this stoichiometry comes out at 0.000 eV/atom. For the raw total energy, the calculation gives -103.71 eV/cell. The formation energy is 0.417 eV per atom. The calculation puts the total magnetic moment at 0.0 μB per cell.

Cell: 4.9955 5.3362 7.3349 Å, 111.33 90.00 90.00°
Closest atoms and distances in Å follow each position.
Sites, in units of the cell vectors:
1 Ti 0.5000 0.0000 0.0000  2 Ti 2.50, 4 W 2.71
2 Nb 0.7500 0.4343 0.8686  6 W 3.03-3.17, 4 Nb 3.08-3.12, 4 Ti 3.08
3 W 0.2500 0.6001 0.7086  2 W 2.62-2.71, 3 Nb 2.66-2.89, 2 Ti 2.71
4 Nb 0.7500 0.8152 0.6305  6 W 2.66-2.89, 2 Ti 2.82
5 Ti 0.0000 0.0000 0.0000  2 Ti 2.50, 4 W 2.71
6 W 0.7500 0.8915 0.2914  2 W 2.62-2.71, 3 Nb 2.66-2.89, 2 Ti 2.71
7 Nb 0.2500 0.5657 0.1314  6 W 3.03-3.17, 4 Nb 3.08-3.12, 4 Ti 3.08
8 W 0.7500 0.3999 0.2914  2 W 2.62-2.71, 3 Nb 2.66-2.89, 2 Ti 2.71
9 Nb 0.2500 0.1848 0.3695  6 W 2.66-2.89, 2 Ti 2.82
10 W 0.2500 0.1085 0.7086  2 W 2.62-2.71, 3 Nb 2.66-2.89, 2 Ti 2.71

***

[4]
Density functional theory data (PBE) for a geometry-optimized TiNb2W2 structure.

Summary:
The energy above the lowest structure with this stoichiometry comes out at 0.135 eV/atom. For the raw total energy, the calculation gives -102.36 eV/cell. The formation energy is 0.552 eV per atom. The calculation puts the total magnetic moment at 0.0 μB per cell.

Cell: 6.9647 6.9647 4.5203 Å, 108.90 108.90 96.70°
Closest atoms and distances in Å follow each position.
Sites, in units of the cell vectors:
1 Nb 0.8100 0.6264 0.4689  5 W 2.61-2.89, 1 Ti 2.92
2 Nb 0.6264 0.8100 0.9689  5 W 2.61-2.89, 1 Ti 2.92
3 Ti 0.0845 0.9155 0.2500  2 W 2.68, 2 Ti 2.86, 2 Nb 2.92
4 Nb 0.1900 0.3736 0.5311  5 W 2.61-2.89, 1 Ti 2.92
5 W 0.6215 0.3785 0.7500  2 W 2.78, 6 Nb 2.84-2.89, 1 Ti 3.06
6 Ti 0.9155 0.0845 0.7500  2 W 2.68, 2 Ti 2.86, 2 Nb 2.92
7 Nb 0.3736 0.1900 0.0311  5 W 2.61-2.89, 1 Ti 2.92
8 W 0.7769 0.2231 0.2500  4 Nb 2.61-2.66, 2 Ti 2.68, 2 W 2.78
9 W 0.2231 0.7769 0.7500  4 Nb 2.61-2.66, 2 Ti 2.68, 2 W 2.78
10 W 0.3785 0.6215 0.2500  2 W 2.78, 6 Nb 2.84-2.89, 1 Ti 3.06

***

[5]
Density functional theory data (PBE) for a geometry-optimized Ti2NbW6 structure.

Summary:
The energy above the lowest structure with this stoichiometry comes out at 0.000 eV/atom. For the raw total energy, the calculation gives -100.97 eV/cell. The formation energy is 0.290 eV per atom. The calculation puts the total magnetic moment at 0.0 μB per cell.

Cell: 4.4551 5.3074 7.5750 Å, 61.22 90.00 90.00°
Closest atoms and distances in Å follow each position.
Sites, in units of the cell vectors:
1 W 0.0000 0.5959 0.7969  5 W 2.66-2.75, 2 Ti 2.71, 1 Nb 2.77
2 W 0.5000 0.5848 0.3084  5 W 2.59-2.78, 2 Ti 2.81-2.87
3 W 0.0000 0.4041 0.2031  5 W 2.66-2.75, 2 Ti 2.71, 1 Nb 2.77
4 W 0.5000 0.4152 0.6916  5 W 2.59-2.78, 2 Ti 2.81-2.87
5 W 0.0000 0.1863 0.6016  5 W 2.66-2.92, 1 Nb 2.69
6 Ti 0.5000 0.1882 0.1198  4 W 2.71-2.87, 2 Nb 2.77, 1 Ti 2.91
7 W 0.0000 0.8137 0.3984  5 W 2.66-2.92, 1 Nb 2.69
8 Nb 0.0000 0.0000 0.0000  4 W 2.69-2.77, 4 Ti 2.77
9 Ti 0.5000 0.8118 0.8802  4 W 2.71-2.87, 2 Nb 2.77, 1 Ti 2.91

***

[6]
Density functional theory data (PBE) for a geometry-optimized TiNb2W structure.

Summary:
The energy above the lowest structure with this stoichiometry comes out at 0.652 eV/atom. For the raw total energy, the calculation gives -38.45 eV/cell. The formation energy is 0.634 eV per atom. The calculation puts the total magnetic moment at 0.0 μB per cell.

Cell: 6.0569 6.0569 6.0569 Å, 55.70 153.28 132.09°
Closest atoms and distances in Å follow each position.
Sites, in units of the cell vectors:
1 Nb 0.0000 0.7482 0.7482  1 W 2.66, 1 Ti 2.70, 6 Nb 2.80-2.83
2 W 0.0000 0.5000 0.5000  2 Nb 2.66, 2 W 2.80, 4 Ti 2.83
3 Nb 0.0000 0.2518 0.2518  1 W 2.66, 1 Ti 2.70, 6 Nb 2.80-2.83
4 Ti 0.0000 0.0000 0.0000  2 Nb 2.70, 2 Ti 2.80, 4 W 2.83